First-principles (PBE-GGA) data for crystalline LaReTe at its relaxed geometry, as listed in Alexandria via LeMat-Bulk.

Output
The relative energy among the computed polymorphs comes out at 42 meV/atom. The uncorrected formation energy comes out at -0.443 eV per atom.

Cell lengths 6.847, 4.205, 11.248 Å; angles 90.00, 99.65, 90.00 degrees
Atoms (fractional coordinates):
Re (0.412, 0.000, 0.327)
Re (0.412, 0.500, 0.827)
Re (0.248, 0.000, 0.752)
Re (0.248, 0.500, 0.252)
Te (0.663, 0.000, 0.774)
Te (0.663, 0.500, 0.274)
Te (0.012, 0.000, 0.127)
Te (0.012, 0.500, 0.627)
La (0.989, 0.000, 0.408)
La (0.989, 0.500, 0.908)
La (0.479, 0.000, 0.055)
La (0.479, 0.500, 0.555)

=====

First-principles (PBE-GGA) data for crystalline LaReTe2 at its relaxed geometry, as listed in Alexandria via LeMat-Bulk.

Output
The relative energy among the computed polymorphs comes out at 60 meV/atom. The uncorrected formation energy comes out at -0.168 eV per atom.

Cell lengths 6.325, 6.325, 5.989 Å; angles 60.75, 60.75, 31.87 degrees
Atoms (fractional coordinates):
La (0.553, 0.553, 0.504)
Re (0.266, 0.266, 0.105)
Te (0.936, 0.936, 0.101)
Te (0.744, 0.744, 0.790)

=====

First-principles (PBE-GGA) data for crystalline LaReTe at its relaxed geometry, as listed in Alexandria via LeMat-Bulk.

Output
The relative energy among the computed polymorphs comes out at 100 meV/atom. The uncorrected formation energy comes out at -0.384 eV per atom.

Cell lengths 7.805, 3.932, 11.872 Å; angles 90.00, 94.22, 90.00 degrees
Atoms (fractional coordinates):
Re (0.530, 0.000, 0.697)
Re (0.470, 0.000, 0.303)
Re (0.530, 0.500, 0.197)
Re (0.470, 0.500, 0.803)
Te (0.839, 0.000, 0.602)
Te (0.161, 0.000, 0.398)
Te (0.839, 0.500, 0.102)
Te (0.161, 0.500, 0.898)
La (0.192, 0.000, 0.124)
La (0.808, 0.000, 0.876)
La (0.192, 0.500, 0.624)
La (0.808, 0.500, 0.376)

=====

First-principles (PBE-GGA) data for crystalline LaReTe at its relaxed geometry, as listed in Alexandria via LeMat-Bulk.

Output
The relative energy among the computed polymorphs comes out at 127 meV/atom. The uncorrected formation energy comes out at -0.358 eV per atom.

Cell lengths 5.112, 3.976, 17.781 Å; angles 90.00, 103.29, 90.00 degrees
Atoms (fractional coordinates):
Re (0.823, 0.000, 0.828)
Re (0.823, 0.500, 0.328)
Re (0.908, 0.000, 0.409)
Re (0.908, 0.500, 0.909)
Te (0.609, 0.000, 0.674)
Te (0.609, 0.500, 0.174)
Te (0.004, 0.000, 0.032)
Te (0.004, 0.500, 0.532)
La (0.418, 0.000, 0.926)
La (0.418, 0.500, 0.426)
La (0.155, 0.000, 0.229)
La (0.155, 0.500, 0.729)

=====

First-principles (PBE-GGA) data for crystalline LaReTe2 at its relaxed geometry, as listed in Alexandria via LeMat-Bulk.

Output
The relative energy among the computed polymorphs comes out at 269 meV/atom. The uncorrected formation energy comes out at 0.041 eV per atom.

Cell lengths 8.535, 8.535, 8.535 Å; angles 28.20, 28.20, 28.20 degrees
Atoms (fractional coordinates):
La (0.490, 0.490, 0.490)
Re (0.742, 0.742, 0.742)
Te (0.031, 0.031, 0.031)
Te (0.238, 0.238, 0.238)

=====

First-principles (PBE-GGA) data for crystalline LaThRe at its relaxed geometry, as listed in Alexandria via LeMat-Bulk.

Output
The relative energy among the computed polymorphs comes out at 0 meV/atom. The value obtained for the calculated formation energy is 115.5 meV/atom.

Cell lengths 4.806, 4.815, 9.238 Å; angles 74.97, 90.00, 119.94 degrees
Atoms (fractional coordinates):
Th (0.874, 0.747, 0.879)
Th (0.126, 0.253, 0.121)
La (0.377, 0.754, 0.371)
La (0.623, 0.246, 0.629)
Re (0.238, 0.475, 0.786)
Re (0.762, 0.525, 0.214)

=====

First-principles (PBE-GGA) data for crystalline LaThRe at its relaxed geometry, as listed in Alexandria via LeMat-Bulk.

Output
The relative energy among the computed polymorphs comes out at 34 meV/atom. The value obtained for the calculated formation energy is 149.6 meV/atom.

Cell lengths 3.551, 3.551, 6.443 Å; angles 106.00, 106.00, 90.00 degrees
Atoms (fractional coordinates):
Re (0.676, 0.676, 0.353)
Th (0.313, 0.313, 0.625)
La (0.011, 0.011, 0.022)

=====

First-principles (PBE-GGA) data for crystalline La2Ti2Re at its relaxed geometry, as listed in Alexandria via LeMat-Bulk.

Output
The relative energy among the computed polymorphs comes out at 424 meV/atom. The value obtained for the calculated formation energy is 978.9 meV/atom.

Cell lengths 8.514, 8.514, 3.113 Å; angles 90.00, 90.00, 90.00 degrees
Atoms (fractional coordinates):
Re (0.000, 0.000, 0.000)
Re (0.500, 0.500, 0.000)
Ti (0.108, 0.608, 0.500)
Ti (0.608, 0.892, 0.500)
Ti (0.892, 0.392, 0.500)
Ti (0.392, 0.108, 0.500)
La (0.300, 0.800, 0.000)
La (0.800, 0.700, 0.000)
La (0.700, 0.200, 0.000)
La (0.200, 0.300, 0.000)